Entry 1:
# Ho5Ir2Pd (PBE, optimized geometry)
data_Ho5Ir2Pd
_space_group_name_H-M_alt 'I 4/m c m'
_space_group_IT_number 140
_space_group_name_Hall '-I 4 2c'
_cell_length_a 7.571
_cell_length_b 7.571
_cell_length_c 13.335
_cell_angle_alpha 90.00
_cell_angle_beta 90.00
_cell_angle_gamma 90.00
loop_
_atom_site_label
_atom_site_type_symbol
_atom_site_fract_x
_atom_site_fract_y
_atom_site_fract_z
Ho1 Ho 0.000 0.000 0.000
Ho2 Ho 0.164 0.336 0.139
Ir1 Ir 0.137 0.363 0.500
Pd1 Pd 0.000 0.000 0.250
# size of the total moment = 0.000 μB per formula unit
# E_tot = -6.505 eV per atom
# DOS(E_F) = 28.32 states/eV per cell
# energy of formation from the pure elements = -0.780 eV per atom
# crystal system = tetragonal

***

Entry 2:
# MgInSbI2 (PBE, optimized geometry)
data_MgInSbI2
_space_group_name_H-M_alt 'P 4/m m m'
_space_group_IT_number 123
_space_group_name_Hall '-P 4 2'
_cell_length_a 5.856
_cell_length_b 5.856
_cell_length_c 5.626
_cell_angle_alpha 90.00
_cell_angle_beta 90.00
_cell_angle_gamma 90.00
loop_
_atom_site_label
_atom_site_type_symbol
_atom_site_fract_x
_atom_site_fract_y
_atom_site_fract_z
Mg1 Mg 0.000 0.000 0.000
In1 In 0.500 0.500 0.500
Sb1 Sb 0.000 0.000 0.500
I1 I 0.000 0.500 0.000
# size of the total moment = 1.570 μB per formula unit
# ΔE_f (raw) = -121 meV per atom
# E_tot = -2.432 eV per atom
# DOS(E_F) = 2.75 states/eV per cell
# crystal system = tetragonal
# excess energy over the best structure of this formula in the dataset = 0 meV per atom

***

Entry 3:
# BeAgPO2 (PBE, optimized geometry)
data_BeAgPO2
_space_group_name_H-M_alt 'P 4/m m m'
_space_group_IT_number 123
_space_group_name_Hall '-P 4 2'
_cell_length_a 3.884
_cell_length_b 3.884
_cell_length_c 5.128
_cell_angle_alpha 90.00
_cell_angle_beta 90.00
_cell_angle_gamma 90.00
loop_
_atom_site_label
_atom_site_type_symbol
_atom_site_fract_x
_atom_site_fract_y
_atom_site_fract_z
Be1 Be 0.000 0.000 0.000
Ag1 Ag 0.500 0.500 0.500
P1 P 0.500 0.500 0.000
O1 O 0.000 0.500 0.500
# size of the total moment = 0.000 μB per formula unit
# ΔE_f (raw) = 934 meV per atom
# E_tot = -3.447 eV per atom
# DOS(E_F) = 5.63 states/eV per cell
# crystal system = tetragonal
# excess energy over the best structure of this formula in the dataset = 1031 meV per atom

***

Entry 4:
# ZnAgSn2 (PBE, optimized geometry)
data_ZnAgSn2
_space_group_name_H-M_alt 'R -3 m'
_space_group_IT_number 166
_space_group_name_Hall '-R 3 2"'
_cell_length_a 3.1812
_cell_length_b 3.1812
_cell_length_c 31.8921
_cell_angle_alpha 90.00
_cell_angle_beta 90.00
_cell_angle_gamma 120.00
loop_
_atom_site_label
_atom_site_type_symbol
_atom_site_fract_x
_atom_site_fract_y
_atom_site_fract_z
Zn1 Zn 0.0000 0.0000 0.0000
Ag1 Ag 0.0000 0.0000 0.5000
Sn1 Sn 0.0000 0.0000 0.4112
# size of the total moment = 0.000 μB per formula unit
# E_tot = -2.837 eV per atom
# DOS(E_F) = 4.51 states/eV per cell
# energy of formation from the pure elements = 0.196 eV per atom
# crystal system = trigonal

***

Entry 5:
# CrHOsRh2 (PBE, optimized geometry)
data_CrHOsRh2
_space_group_name_H-M_alt 'P 4/m m m'
_space_group_IT_number 123
_space_group_name_Hall '-P 4 2'
_cell_length_a 3.791
_cell_length_b 3.791
_cell_length_c 3.931
_cell_angle_alpha 90.00
_cell_angle_beta 90.00
_cell_angle_gamma 90.00
loop_
_atom_site_label
_atom_site_type_symbol
_atom_site_fract_x
_atom_site_fract_y
_atom_site_fract_z
Cr1 Cr 0.000 0.000 0.000
H1 H 0.000 0.000 0.500
Os1 Os 0.500 0.500 0.000
Rh1 Rh 0.000 0.500 0.500
# size of the total moment = 0.000 μB per formula unit
# E_tot = -7.725 eV per atom
# DOS(E_F) = 4.70 states/eV per cell
# crystal system = tetragonal
# excess energy over the best structure of this formula in the dataset = 8 meV per atom

***

Entry 6:
# La4CSe2S (PBE, optimized geometry)
data_La4CSe2S
_space_group_name_H-M_alt 'P 1 2/m 1'
_space_group_IT_number 10
_space_group_name_Hall '-P 2y'
_cell_length_a 7.216
_cell_length_b 4.118
_cell_length_c 7.370
_cell_angle_alpha 90.00
_cell_angle_beta 108.68
_cell_angle_gamma 90.00
loop_
_atom_site_label
_atom_site_type_symbol
_atom_site_fract_x
_atom_site_fract_y
_atom_site_fract_z
La1 La 0.221 0.000 0.214
La2 La 0.238 0.500 0.777
C1 C 0.000 0.500 0.000
Se1 Se 0.000 0.000 0.500
Se2 Se 0.500 0.500 0.500
S1 S 0.500 0.000 0.000
# size of the total moment = 0.000 μB per formula unit
# ΔE_f (raw) = -1576 meV per atom
# E_tot = -6.580 eV per atom
# DOS(E_F) = 2.80 states/eV per cell
# crystal system = monoclinic

***

Entry 7:
# La7Se6 (PBE, optimized geometry)
data_La7Se6
_space_group_name_H-M_alt 'R -3 m'
_space_group_IT_number 166
_space_group_name_Hall '-R 3 2"'
_cell_length_a 6.6603
_cell_length_b 6.6603
_cell_length_c 34.1177
_cell_angle_alpha 90.00
_cell_angle_beta 90.00
_cell_angle_gamma 120.00
loop_
_atom_site_label
_atom_site_type_symbol
_atom_site_fract_x
_atom_site_fract_y
_atom_site_fract_z
La1 La 0.0000 0.0000 0.0000
La2 La 0.0043 0.5022 0.4306
Se1 Se 0.0000 0.0000 0.1662
Se2 Se 0.0000 0.0000 0.3057
Se3 Se 0.0000 0.0000 0.4292
# size of the total moment = 3.116 μB per formula unit
# ΔE_f (raw) = -1097 meV per atom
# E_tot = -5.359 eV per atom
# DOS(E_F) = 34.90 states/eV per cell
# crystal system = trigonal

***

Entry 8:
# ZrTa2Mn2 (PBE, optimized geometry)
data_ZrTa2Mn2
_space_group_name_H-M_alt 'P 4/m b m'
_space_group_IT_number 127
_space_group_name_Hall '-P 4 2ab'
_cell_length_a 7.265
_cell_length_b 7.265
_cell_length_c 3.099
_cell_angle_alpha 90.00
_cell_angle_beta 90.00
_cell_angle_gamma 90.00
loop_
_atom_site_label
_atom_site_type_symbol
_atom_site_fract_x
_atom_site_fract_y
_atom_site_fract_z
Zr1 Zr 0.000 0.000 0.000
Ta1 Ta 0.151 0.349 0.500
Mn1 Mn 0.136 0.636 0.000
# size of the total moment = 0.000 μB per formula unit
# E_tot = -10.004 eV per atom
# DOS(E_F) = 11.63 states/eV per cell
# energy of formation from the pure elements = 0.115 eV per atom
# crystal system = tetragonal
# excess energy over the best structure of this formula in the dataset = 0 meV per atom